This record from the Alexandria database describes a relaxed structure of CeU2Mn9. The functional is PBE-GGA.

Calculated values
Calculated volume (Å³/cell): 344.6
Energy of formation (eV/atom): 0.07
DFT total energy (Ha/atom): -0.3374
Magnetic moment (μB/cell): 8.9

Cell: 8.1530 8.1530 5.1848 Å, 90.00 90.00 90.00°
Last column: nearest neighbours and their distance in Å.
Space group P4/mbm (No. 127)
One atom of each set of equivalent atoms:
Ce (0.0000, 0.0000, 0.0000) (multiplicity 2)  16 Mn 3.14-3.27, 4 U 3.28
U (0.1148, 0.3852, 0.0000) (multiplicity 4)  1 U 2.65, 8 Mn 2.70-2.91
Mn (0.0000, 0.5000, 0.5000) (multiplicity 2)  8 Mn 2.45-2.47
Mn (0.0709, 0.2056, 0.5000) (multiplicity 8)  8 Mn 2.40-2.59
Mn (0.1809, 0.6809, 0.2532) (multiplicity 8)  7 Mn 2.40-2.63


This record from the Alexandria database describes a relaxed structure of CeUMn4. The functional is PBE-GGA.

Calculated values
Calculated volume (Å³/cell): 366.7
Energy of formation (eV/atom): 0.05
DFT total energy (Ha/atom): -0.3282
Magnetic moment (μB/cell): 17.4

Cell: 7.1579 7.1579 7.1579 Å, 90.00 90.00 90.00°
Last column: nearest neighbours and their distance in Å.
Space group F-43m (No. 216)
One atom of each set of equivalent atoms:
Ce (0.0000, 0.0000, 0.0000) (multiplicity 4)  12 Mn 2.97, 4 U 3.10
U (0.2500, 0.2500, 0.2500) (multiplicity 4)  12 Mn 2.97, 4 Ce 3.10
Mn (0.1249, 0.1249, 0.6249) (multiplicity 16)  6 Mn 2.53


This record from the Alexandria database describes a relaxed structure of CeU2Mn3. The functional is PBE-GGA.

Calculated values
Calculated volume (Å³/cell): 437.0
Energy of formation (eV/atom): 0.09
DFT total energy (Ha/atom): -0.3398
Magnetic moment (μB/cell): 0.0

Cell: 9.0846 7.5294 6.3890 Å, 90.00 90.00 90.00°
Last column: nearest neighbours and their distance in Å.
Space group Cmcm (No. 63)
One atom of each set of equivalent atoms:
Ce (0.0000, 0.1904, 0.2500) (multiplicity 4)  3 Mn 2.89-3.04
U (0.2048, 0.5000, 0.0000) (multiplicity 8)  2 Mn 2.26
Mn (0.0000, 0.4063, 0.7500) (multiplicity 4)  2 Mn 2.49, 4 U 2.55
Mn (0.1620, 0.1400, 0.7500) (multiplicity 8)  2 U 2.26, 1 Mn 2.49


This record from the Alexandria database describes a relaxed structure of Ce2MnV. The functional is PBE-GGA.

Calculated values
Calculated volume (Å³/cell): 228.3
Energy of formation (eV/atom): 0.52
DFT total energy (Ha/atom): -0.2578
Magnetic moment (μB/cell): 9.6

Cell: 2.8996 2.8996 31.3523 Å, 90.00 90.00 120.00°
Last column: nearest neighbours and their distance in Å.
Space group R-3m (No. 166, hexagonal axes)
One atom of each set of equivalent atoms:
Ce (0.0000, 0.0000, 0.0837) (multiplicity 6)  1 V 2.62, 6 Ce 2.90
Mn (0.0000, 0.0000, 0.5000) (multiplicity 3)  6 Mn 2.90, 6 Ce 3.09
V (0.0000, 0.0000, 0.0000) (multiplicity 3)  2 Ce 2.62, 6 V 2.90


This record from the Alexandria database describes a relaxed structure of CeMnV2. The functional is PBE-GGA.

Calculated values
Calculated volume (Å³/cell): 182.8
Energy of formation (eV/atom): 0.36
DFT total energy (Ha/atom): -0.2932
Magnetic moment (μB/cell): 0.0

Cell: 2.8152 2.8152 26.6338 Å, 90.00 90.00 120.00°
Last column: nearest neighbours and their distance in Å.
Space group R-3m (No. 166, hexagonal axes)
One atom of each set of equivalent atoms:
Ce (0.0000, 0.0000, 0.0000) (multiplicity 3)  2 V 2.63, 6 Ce 2.82
Mn (0.0000, 0.0000, 0.5000) (multiplicity 3)  6 V 2.43
V (0.0000, 0.0000, 0.0989) (multiplicity 6)  3 Mn 2.43, 1 Ce 2.63


This record from the Alexandria database describes a relaxed structure of CeMnV. The functional is PBE-GGA.

Calculated values
Calculated volume (Å³/cell): 108.8
Energy of formation (eV/atom): 0.13
DFT total energy (Ha/atom): -0.2919
Magnetic moment (μB/cell): 0.0

Cell: 3.7905 3.7905 7.5752 Å, 90.00 90.00 90.00°
Last column: nearest neighbours and their distance in Å.
Space group P4/nmm (No. 129, origin choice 2)
One atom of each set of equivalent atoms:
Ce (0.2500, 0.2500, 0.1436) (multiplicity 2)  4 Mn 2.97, 4 V 3.30
Mn (0.2500, 0.2500, 0.6879) (multiplicity 2)  4 V 2.37
V (0.2500, 0.7500, 0.5000) (multiplicity 2)  4 Mn 2.37


This record from the Alexandria database describes a relaxed structure of CeYMn4. The functional is PBE-GGA.

Calculated values
Calculated volume (Å³/cell): 389.3
Energy of formation (eV/atom): 0.13
DFT total energy (Ha/atom): -0.2959
Magnetic moment (μB/cell): 27.4

Cell: 7.3017 7.3017 7.3017 Å, 90.00 90.00 90.00°
Last column: nearest neighbours and their distance in Å.
Space group F-43m (No. 216)
One atom of each set of equivalent atoms:
Ce (0.0000, 0.0000, 0.0000) (multiplicity 4)  12 Mn 3.03, 4 Y 3.16
Y (0.2500, 0.2500, 0.2500) (multiplicity 4)  12 Mn 3.03, 4 Ce 3.16
Mn (0.1253, 0.1253, 0.6253) (multiplicity 16)  6 Mn 2.58-2.59


This record from the Alexandria database describes a relaxed structure of Ce3YMn. The functional is PBE-GGA.

Calculated values
Calculated volume (Å³/cell): 137.9
Energy of formation (eV/atom): 0.16
DFT total energy (Ha/atom): -0.2399
Magnetic moment (μB/cell): 0.0

Cell: 5.1669 5.1669 5.1669 Å, 90.00 90.00 90.00°
Last column: nearest neighbours and their distance in Å.
Space group Pm-3m (No. 221)
One atom of each set of equivalent atoms:
Ce (0.0000, 0.0000, 0.5000) (multiplicity 3)  2 Mn 2.58
Y (0.5000, 0.5000, 0.5000) (multiplicity 1)  12 Ce 3.65
Mn (0.0000, 0.0000, 0.0000) (multiplicity 1)  6 Ce 2.58